Record 1
Computed, not measured: a PBEsol-optimized structure of CdRh2Pb at the meta-GGA SCAN level of DFT.

Output
- space group = No. 123
- calculated formation energy (eV per atom) = -0.0447
- total DFT energy (no corrections) (Ry/atom) = -3.196

Cell lengths 4.4053, 4.4053, 3.4570 Å; angles 90.00, 90.00, 90.00 degrees
Atoms (fractional coordinates):
Cd1 0.0000 0.0000 0.0000
Rh1 0.0000 0.5000 0.5000
Rh2 0.5000 0.0000 0.5000
Pb1 0.5000 0.5000 0.0000

=====

Record 2
Computed, not measured: a PBEsol-optimized structure of CaHgRh2 at the meta-GGA SCAN level of DFT.

Output
- space group = No. 216
- calculated formation energy (eV per atom) = -0.0170
- total DFT energy (no corrections) (Ry/atom) = -2.672

Cell lengths 6.5479, 6.5479, 6.5479 Å; angles 90.00, 90.00, 90.00 degrees
Atoms (fractional coordinates):
Ca1 0.0000 0.0000 0.0000
Ca2 0.0000 0.5000 0.5000
Ca3 0.5000 0.0000 0.5000
Ca4 0.5000 0.5000 0.0000
Hg1 0.2500 0.2500 0.2500
Hg2 0.2500 0.7500 0.7500
Hg3 0.7500 0.2500 0.7500
Hg4 0.7500 0.7500 0.2500
Rh1 0.0000 0.0000 0.5000
Rh2 0.0000 0.5000 0.0000
Rh3 0.2500 0.2500 0.7500
Rh4 0.2500 0.7500 0.2500
Rh5 0.5000 0.0000 0.0000
Rh6 0.5000 0.5000 0.5000
Rh7 0.7500 0.2500 0.2500
Rh8 0.7500 0.7500 0.7500

=====

Record 3
Computed, not measured: a PBEsol-optimized structure of La2SiIr at the meta-GGA SCAN level of DFT.

Output
- ΔE_f (raw) (kcal/mol of atoms) = -20.02
- space group = No. 38
- total DFT energy (no corrections) (Ry/atom) = -3.138

Cell lengths 4.1920, 4.3729, 10.5455 Å; angles 90.00, 90.00, 90.00 degrees
Atoms (fractional coordinates):
La1 0.0000 0.0000 0.0000
La2 0.0000 0.5000 0.5000
La3 0.5000 0.0000 0.2864
La4 0.5000 0.5000 0.7864
Si1 0.0000 0.0000 0.7009
Si2 0.0000 0.5000 0.2009
Ir1 0.5000 0.0000 0.5746
Ir2 0.5000 0.5000 0.0746

=====

Record 4
Computed, not measured: a PBEsol-optimized structure of MgTaSe2 at the meta-GGA SCAN level of DFT.

Output
- ΔE_f (raw) (kcal/mol of atoms) = -10.74
- space group = No. 123
- total DFT energy (no corrections) (Ry/atom) = -2.087

Cell lengths 3.2464, 3.2464, 6.6756 Å; angles 90.00, 90.00, 90.00 degrees
Atoms (fractional coordinates):
Mg1 0.0000 0.0000 0.0000
Ta1 0.0000 0.0000 0.5000
Se1 0.5000 0.5000 0.2717
Se2 0.5000 0.5000 0.7283

=====

Record 5
Computed, not measured: a PBEsol-optimized structure of Nd12Re5C15 at the meta-GGA SCAN level of DFT.

Output
- space group = No. 189
- calculated formation energy (eV per atom) = -0.3717
- total DFT energy (no corrections) (Ry/atom) = -2.393

Cell lengths 10.9045, 10.9045, 5.2844 Å; angles 90.00, 90.00, 120.00 degrees
Atoms (fractional coordinates):
Nd1 0.0000 0.2045 0.0000
Nd2 0.0000 0.5770 0.0000
Nd3 0.1876 0.4585 0.5000
Nd4 0.2045 0.0000 0.0000
Nd5 0.2709 0.8124 0.5000
Nd6 0.4230 0.4230 0.0000
Nd7 0.4585 0.1876 0.5000
Nd8 0.5415 0.7291 0.5000
Nd9 0.5770 0.0000 0.0000
Nd10 0.7291 0.5415 0.5000
Nd11 0.7955 0.7955 0.0000
Nd12 0.8124 0.2709 0.5000
Re1 0.0000 0.8484 0.5000
Re2 0.1516 0.1516 0.5000
Re3 0.3333 0.6667 0.0000
Re4 0.6667 0.3333 0.0000
Re5 0.8484 0.0000 0.5000
C1 0.0000 0.2087 0.5000
C2 0.0000 0.5475 0.5000
C3 0.0000 0.6715 0.5000
C4 0.1880 0.4733 0.0000
C5 0.2087 0.0000 0.5000
C6 0.2853 0.8120 0.0000
C7 0.3285 0.3285 0.5000
C8 0.4525 0.4525 0.5000
C9 0.4733 0.1880 0.0000
C10 0.5267 0.7147 0.0000
C11 0.5475 0.0000 0.5000
C12 0.6715 0.0000 0.5000
C13 0.7147 0.5267 0.0000
C14 0.7913 0.7913 0.5000
C15 0.8120 0.2853 0.0000

=====

Record 6
Computed, not measured: a PBEsol-optimized structure of TaRh2Au at the meta-GGA SCAN level of DFT.

Output
- space group = No. 119
- calculated formation energy (eV per atom) = -0.4354
- total DFT energy (no corrections) (Ry/atom) = -3.767

Cell lengths 3.8534, 3.8534, 8.0805 Å; angles 90.00, 90.00, 90.00 degrees
Atoms (fractional coordinates):
Ta1 0.0000 0.0000 0.0000
Ta2 0.5000 0.5000 0.5000
Rh1 0.0000 0.0000 0.5000
Rh2 0.0000 0.5000 0.2500
Rh3 0.5000 0.0000 0.7500
Rh4 0.5000 0.5000 0.0000
Au1 0.0000 0.5000 0.7500
Au2 0.5000 0.0000 0.2500

=====

Record 7
Computed, not measured: a PBEsol-optimized structure of CeZr11O24 at the meta-GGA SCAN level of DFT.

Output
- ΔE_f (raw) (kcal/mol of atoms) = -86.94
- space group = No. 1
- total DFT energy (no corrections) (Ry/atom) = -1.363

Cell lengths 6.7903, 7.3672, 9.5654 Å; angles 93.20, 91.46, 116.41 degrees
Atoms (fractional coordinates):
Ce1 0.0000 0.0000 0.0000
Zr1 0.1542 0.3445 0.7348
Zr2 0.1910 0.8862 0.6895
Zr3 0.2964 0.1194 0.3809
Zr4 0.3273 0.6615 0.3313
Zr5 0.4899 0.0055 0.0739
Zr6 0.5193 0.5512 0.0260
Zr7 0.6239 0.7838 0.7066
Zr8 0.6622 0.3305 0.6651
Zr9 0.8209 0.6758 0.4042
Zr10 0.8569 0.2198 0.3616
Zr11 0.9533 0.4509 0.0433
O1 0.1859 0.8210 0.4586
O2 0.1907 0.3419 0.9599
O3 0.2113 0.3529 0.3465
O4 0.2265 0.0320 0.1717
O5 0.2702 0.6488 0.7142
O6 0.2729 0.9573 0.9008
O7 0.2881 0.6722 0.1087
O8 0.2989 0.1849 0.6102
O9 0.5179 0.4877 0.7896
O10 0.5284 0.9946 0.3016
O11 0.5449 0.0211 0.6778
O12 0.5492 0.7025 0.4969
O13 0.5940 0.3104 0.0499
O14 0.6007 0.6340 0.2363
O15 0.6167 0.8431 0.9413
O16 0.6255 0.3409 0.4392
O17 0.8427 0.1618 0.1297
O18 0.8571 0.6619 0.6291
O19 0.8664 0.6743 0.0131
O20 0.8802 0.3683 0.8311
O21 0.9342 0.3023 0.5705
O22 0.9397 0.9834 0.3867
O23 0.9587 0.0072 0.7615
O24 0.9624 0.5172 0.2790

=====

Record 8
Computed, not measured: a PBEsol-optimized structure of K3DyCl6 at the meta-GGA SCAN level of DFT.

Output
- ΔE_f (raw) (kcal/mol of atoms) = -52.63
- space group = No. 225
- total DFT energy (no corrections) (Ry/atom) = -1.055

Cell lengths 7.7743, 7.7743, 7.7743 Å; angles 60.00, 60.00, 60.00 degrees
Atoms (fractional coordinates):
K1 0.0000 0.0000 0.0000
K2 0.2500 0.2500 0.2500
K3 0.7500 0.7500 0.7500
Dy1 0.5000 0.5000 0.5000
Cl1 0.2642 0.2642 0.7358
Cl2 0.2642 0.7358 0.2642
Cl3 0.2642 0.7358 0.7358
Cl4 0.7358 0.2642 0.2642
Cl5 0.7358 0.2642 0.7358
Cl6 0.7358 0.7358 0.2642

=====

Record 9
Computed, not measured: a PBEsol-optimized structure of Cu2PtSe at the meta-GGA SCAN level of DFT.

Output
- ΔE_f (raw) (kcal/mol of atoms) = 2.08
- space group = No. 47
- total DFT energy (no corrections) (Ry/atom) = -2.211

Cell lengths 3.2603, 3.3114, 5.1966 Å; angles 90.00, 90.00, 90.00 degrees
Atoms (fractional coordinates):
Cu1 0.0000 0.0000 0.2469
Cu2 0.0000 0.0000 0.7531
Pt1 0.5000 0.5000 0.0000
Se1 0.5000 0.5000 0.5000

=====

Record 10
Computed, not measured: a PBEsol-optimized structure of Ta5Ru at the meta-GGA SCAN level of DFT.

Output
- space group = No. 12
- calculated formation energy (eV per atom) = -0.2453
- total DFT energy (no corrections) (Ry/atom) = -4.523

Cell lengths 10.2282, 3.2307, 6.4385 Å; angles 90.00, 108.92, 90.00 degrees
Atoms (fractional coordinates):
Ta1 0.0000 0.0000 0.0000
Ta2 0.1632 0.5000 0.3358
Ta3 0.1644 0.5000 0.8281
Ta4 0.3356 0.0000 0.1719
Ta5 0.3368 0.0000 0.6642
Ta6 0.5000 0.5000 0.0000
Ta7 0.6632 0.0000 0.3358
Ta8 0.6644 0.0000 0.8281
Ta9 0.8356 0.5000 0.1719
Ta10 0.8368 0.5000 0.6642
Ru1 0.0000 0.0000 0.5000
Ru2 0.5000 0.5000 0.5000

=====

Record 11
Computed, not measured: a PBEsol-optimized structure of CrRe3H at the meta-GGA SCAN level of DFT.

Output
- space group = No. 221
- total DFT energy (no corrections) (Ry/atom) = -3.438

Cell lengths 3.8689, 3.8689, 3.8689 Å; angles 90.00, 90.00, 90.00 degrees
Atoms (fractional coordinates):
Cr1 0.0000 0.0000 0.0000
Re1 0.0000 0.5000 0.5000
Re2 0.5000 0.0000 0.5000
Re3 0.5000 0.5000 0.0000
H1 0.5000 0.5000 0.5000

=====

Record 12
Computed, not measured: a PBEsol-optimized structure of TePt2W at the meta-GGA SCAN level of DFT.

Output
- ΔE_f (raw) (kcal/mol of atoms) = 9.00
- space group = No. 123
- total DFT energy (no corrections) (Ry/atom) = -4.516

Cell lengths 4.9746, 4.9746, 2.7998 Å; angles 90.00, 90.00, 90.00 degrees
Atoms (fractional coordinates):
Te1 0.0000 0.0000 0.0000
Pt1 0.0000 0.5000 0.5000
Pt2 0.5000 0.0000 0.5000
W1 0.5000 0.5000 0.0000

=====

Record 13
Computed, not measured: a PBEsol-optimized structure of In2ReAs at the meta-GGA SCAN level of DFT.

Output
- space group = No. 216
- calculated formation energy (eV per atom) = 0.8565
- total DFT energy (no corrections) (Ry/atom) = -2.841

Cell lengths 6.6607, 6.6607, 6.6607 Å; angles 90.00, 90.00, 90.00 degrees
Atoms (fractional coordinates):
In1 0.0000 0.0000 0.0000
In2 0.0000 0.5000 0.5000
In3 0.2500 0.2500 0.2500
In4 0.2500 0.7500 0.7500
In5 0.5000 0.0000 0.5000
In6 0.5000 0.5000 0.0000
In7 0.7500 0.2500 0.7500
In8 0.7500 0.7500 0.2500
Re1 0.2500 0.2500 0.7500
Re2 0.2500 0.7500 0.2500
Re3 0.7500 0.2500 0.2500
Re4 0.7500 0.7500 0.7500
As1 0.0000 0.0000 0.5000
As2 0.0000 0.5000 0.0000
As3 0.5000 0.0000 0.0000
As4 0.5000 0.5000 0.5000

=====

Let's list spin magnetization in order: 0.00; 0.99; 0.00; 0.00; 0.00; 0.00; 0.00; 0.00; 0.00; 0.00; 0.00; 0.00; 0.01 Bohr magnetons per cell.